A relaxed LuPuOs2 crystal, computed with PBE.

Cell lengths 4.7484, 4.7484, 4.7484 Å; angles 60.00, 60.00, 60.00 degrees
With the nearest neighbours (Å) after each atom.
Element x y z (fractional)
1 Lu 0.0000 0.0000 0.0000  8 Os 2.91
2 Pu 0.5000 0.5000 0.5000  8 Os 2.91
3 Os 0.2500 0.2500 0.2500  4 Pu 2.91, 4 Lu 2.91
4 Os 0.7500 0.7500 0.7500  4 Pu 2.91, 4 Lu 2.91

Calculated values
Its energy relative to the elements is -0.531 eV/f.u. For the energy above the most stable polymorph in this dataset, the calculation gives 0.0 meV per atom. Its space group is Fm-3m, No. 225.